# 1
The following is a PBE calculation of a relaxed Er4AlHg3 crystal, from Alexandria via LeMat-Bulk.

Unit cell a=3.649 b=3.649 c=14.766 alpha=90.00 beta=90.00 gamma=90.00
Space group P4/mmm (No. 123)
Symmetry-distinct sites (fractional):
1 Er 0.000 0.000 0.120 x2
2 Er 0.000 0.000 0.373 x2
3 Al 0.500 0.500 0.000 x1
4 Hg 0.500 0.500 0.245 x2
5 Hg 0.500 0.500 0.500 x1

* formation energy: -0.4519 eV per atom
* DOS at the Fermi energy: 6.1 states/eV/cell
* energy: -3.314 eV per atom
* offset from the most stable computed form: 0.0 meV per atom

***

# 2
The following is a PBE calculation of a relaxed RbTaBRu2 crystal, from Alexandria via LeMat-Bulk.

Unit cell a=4.708 b=4.708 c=6.363 alpha=90.00 beta=90.00 gamma=90.00
Space group P4/mmm (No. 123)
Symmetry-distinct sites (fractional):
1 Rb 0.000 0.000 0.000 x1
2 Ta 0.000 0.000 0.500 x1
3 B 0.500 0.500 0.000 x1
4 Ru 0.000 0.500 0.500 x2

* formation energy: 2.3497 eV per atom
* DOS at the Fermi energy: 7.9 states/eV/cell
* energy: -5.260 eV per atom
* offset from the most stable computed form: 0.0 meV per atom

***

# 3
The following is a PBE calculation of a relaxed HfZr2Hg2 crystal, from Alexandria via LeMat-Bulk.

Unit cell a=4.100 b=4.100 c=14.406 alpha=90.00 beta=90.00 gamma=90.00
Space group I4/mmm (No. 139)
Symmetry-distinct sites (fractional):
1 Hf 0.000 0.000 0.000 x2
2 Zr 0.000 0.000 0.402 x4
3 Hg 0.000 0.500 0.250 x4

* formation energy: 0.3579 eV per atom
* DOS at the Fermi energy: 12.9 states/eV/cell
* energy: -5.173 eV per atom
* offset from the most stable computed form: 428.3 meV per atom

***

# 4
The following is a PBE calculation of a relaxed MnTc2IrW crystal, from Alexandria via LeMat-Bulk.

Unit cell a=4.642 b=4.642 c=4.710 alpha=90.00 beta=90.00 gamma=90.00
Space group P4/mmm (No. 123)
Symmetry-distinct sites (fractional):
1 Mn 0.000 0.000 0.000 x1
2 Tc 0.000 0.500 0.500 x2
3 Ir 0.500 0.500 0.500 x1
4 W 0.500 0.500 0.000 x1

* formation energy: 2.2456 eV per atom
* DOS at the Fermi energy: 9.4 states/eV/cell
* energy: -8.098 eV per atom

***

# 5
The following is a PBE calculation of a relaxed PuCoH6Rh crystal, from Alexandria via LeMat-Bulk.

Unit cell a=4.5175 b=4.5175 c=4.1726 alpha=90.00 beta=90.00 gamma=120.00
Space group P-6m2 (No. 187)
Symmetry-distinct sites (fractional):
1 Pu 0.0000 0.0000 0.0000 x1
2 Co 0.3333 0.6667 0.5000 x1
3 H 0.0201 0.5101 0.2331 x6
4 Rh 0.6667 0.3333 0.5000 x1

* DOS at the Fermi energy: 13.8 states/eV/cell
* energy: -5.628 eV per atom

***

# 6
The following is a PBE calculation of a relaxed YZrSi2 crystal, from Alexandria via LeMat-Bulk.

Unit cell a=4.168 b=4.782 c=7.900 alpha=90.00 beta=90.00 gamma=90.00
Space group Immm (No. 71)
Symmetry-distinct sites (fractional):
1 Y 0.000 0.000 0.000 x2
2 Zr 0.000 0.000 0.500 x2
3 Si 0.000 0.500 0.246 x4

* DOS at the Fermi energy: 6.3 states/eV/cell
* energy: -6.908 eV per atom
* offset from the most stable computed form: 394.2 meV per atom

***

# 7
The following is a PBE calculation of a relaxed TeRu2 crystal, from Alexandria via LeMat-Bulk.

Unit cell a=11.882 b=3.044 c=5.620 alpha=90.00 beta=98.75 gamma=90.00
Space group Cm (No. 8)
Symmetry-distinct sites (fractional):
1 Te 0.000 0.000 0.000 x2
2 Te 0.186 0.500 0.431 x2
3 Ru 0.174 0.500 0.884 x2
4 Ru 0.321 0.000 0.222 x2
5 Ru 0.355 0.000 0.734 x2
6 Ru 0.493 0.500 0.478 x2

* DOS at the Fermi energy: 10.2 states/eV/cell
* energy: -6.890 eV per atom
* offset from the most stable computed form: 227.5 meV per atom

***

# 8
The following is a PBE calculation of a relaxed SrCd2PPt2 crystal, from Alexandria via LeMat-Bulk.

Unit cell a=4.524 b=4.524 c=14.986 alpha=90.00 beta=90.00 gamma=90.00
Space group I4/mmm (No. 139)
Symmetry-distinct sites (fractional):
1 Sr 0.000 0.000 0.000 x2
2 Cd 0.000 0.500 0.250 x4
3 P 0.000 0.000 0.500 x2
4 Pt 0.000 0.000 0.354 x4

* formation energy: -0.4793 eV per atom
* DOS at the Fermi energy: 7.1 states/eV/cell
* energy: -3.980 eV per atom